No. 1
VASP calculation (GGA-PBE) on a geometry-optimized Pm3HRh8 structure.

Summary:
As for the total DFT energy (no corrections): -81.75 eV per cell. The density of states at the Fermi level is 12.26 states/eV/cell.

Cell: 9.245 9.245 9.245 Å, 33.74 33.74 33.74°
Sites, in units of the cell vectors:
1 Pm 0.000 0.000 0.000
2 Pm 0.132 0.132 0.132
3 Pm 0.609 0.609 0.609
4 H 0.431 0.431 0.431
5 Rh 0.056 0.564 0.564
6 Rh 0.061 0.061 0.563
7 Rh 0.061 0.563 0.061
8 Rh 0.312 0.312 0.312
9 Rh 0.563 0.061 0.061
10 Rh 0.564 0.056 0.564
11 Rh 0.564 0.564 0.056
12 Rh 0.813 0.813 0.813

No. 2
VASP calculation (GGA-PBE) on a geometry-optimized PmH12Rh4 structure.

Summary:
As for the total DFT energy (no corrections): -76.71 eV per cell. The density of states at the Fermi level is 2.84 states/eV/cell.

Cell: 5.913 5.913 5.913 Å, 109.47 109.47 109.47°
Sites, in units of the cell vectors:
1 Pm 0.000 0.000 0.000
2 H 0.053 0.290 0.763
3 H 0.237 0.527 0.290
4 H 0.237 0.947 0.710
5 H 0.290 0.237 0.527
6 H 0.290 0.763 0.053
7 H 0.473 0.710 0.763
8 H 0.527 0.290 0.237
9 H 0.710 0.237 0.947
10 H 0.710 0.763 0.473
11 H 0.763 0.053 0.290
12 H 0.763 0.473 0.710
13 H 0.947 0.710 0.237
14 Rh 0.000 0.000 0.500
15 Rh 0.000 0.500 0.000
16 Rh 0.500 0.000 0.000
17 Rh 0.500 0.500 0.500

No. 3
VASP calculation (GGA-PBE) on a geometry-optimized Pm3H7Rh2 structure.

Summary:
As for the total DFT energy (no corrections): -56.81 eV per cell. The density of states at the Fermi level is 3.97 states/eV/cell.

Cell: 3.547 3.576 12.404 Å, 90.00 98.21 90.00°
Sites, in units of the cell vectors:
1 Pm 0.000 0.000 0.000
2 Pm 0.178 0.500 0.354
3 Pm 0.822 0.500 0.646
4 H 0.105 0.000 0.206
5 H 0.318 0.000 0.637
6 H 0.395 0.500 0.793
7 H 0.500 0.500 0.000
8 H 0.605 0.500 0.207
9 H 0.682 0.000 0.363
10 H 0.895 0.000 0.794
11 Rh 0.391 0.000 0.785
12 Rh 0.609 0.000 0.215

No. 4
VASP calculation (GGA-PBE) on a geometry-optimized PmH12Rh7 structure.

Summary:
As for the total DFT energy (no corrections): -95.66 eV per cell. The density of states at the Fermi level is 8.63 states/eV/cell.

Cell: 5.808 5.808 5.808 Å, 92.39 92.39 92.39°
Sites, in units of the cell vectors:
1 Pm 0.000 0.000 0.000
2 H 0.000 0.289 0.711
3 H 0.000 0.711 0.289
4 H 0.187 0.474 0.474
5 H 0.289 0.000 0.711
6 H 0.289 0.711 0.000
7 H 0.474 0.187 0.474
8 H 0.474 0.474 0.187
9 H 0.526 0.526 0.813
10 H 0.526 0.813 0.526
11 H 0.711 0.000 0.289
12 H 0.711 0.289 0.000
13 H 0.813 0.526 0.526
14 Rh 0.165 0.165 0.497
15 Rh 0.165 0.497 0.165
16 Rh 0.497 0.165 0.165
17 Rh 0.500 0.500 0.500
18 Rh 0.503 0.835 0.835
19 Rh 0.835 0.503 0.835
20 Rh 0.835 0.835 0.503

No. 5
VASP calculation (GGA-PBE) on a geometry-optimized PmH2Rh structure.

Summary:
As for the energy above the lowest structure with this stoichiometry: 94 meV/atom. The density of states at the Fermi level is 0.69 states/eV/cell.

Cell: 4.536 4.536 4.536 Å, 53.49 53.49 53.49°
Sites, in units of the cell vectors:
1 Pm 0.000 0.000 0.000
2 H 0.356 0.356 0.356
3 H 0.644 0.644 0.644
4 Rh 0.500 0.500 0.500

No. 6
VASP calculation (GGA-PBE) on a geometry-optimized Pm3H8Rh2 structure.

Summary:
As for the total DFT energy (no corrections): -61.93 eV per cell. The density of states at the Fermi level is 3.66 states/eV/cell.

Cell: 7.187 7.187 7.187 Å, 41.40 41.40 41.40°
Sites, in units of the cell vectors:
1 Pm 0.000 0.000 0.000
2 Pm 0.211 0.211 0.211
3 Pm 0.789 0.789 0.789
4 H 0.175 0.756 0.756
5 H 0.244 0.244 0.825
6 H 0.244 0.825 0.244
7 H 0.337 0.337 0.337
8 H 0.663 0.663 0.663
9 H 0.756 0.175 0.756
10 H 0.756 0.756 0.175
11 H 0.825 0.244 0.244
12 Rh 0.421 0.421 0.421
13 Rh 0.579 0.579 0.579

No. 7
VASP calculation (GGA-PBE) on a geometry-optimized Pm2H8Rh3 structure.

Summary:
As for the total DFT energy (no corrections): -63.74 eV per cell. The density of states at the Fermi level is 2.86 states/eV/cell.

Cell: 5.683 5.683 5.047 Å, 108.47 108.47 60.38°
Sites, in units of the cell vectors:
1 Pm 0.194 0.194 0.193
2 Pm 0.806 0.806 0.807
3 H 0.122 0.122 0.594
4 H 0.201 0.598 0.128
5 H 0.397 0.397 0.628
6 H 0.402 0.799 0.872
7 H 0.598 0.201 0.128
8 H 0.603 0.603 0.372
9 H 0.799 0.402 0.872
10 H 0.878 0.878 0.406
11 Rh 0.247 0.753 0.500
12 Rh 0.500 0.500 0.000
13 Rh 0.753 0.247 0.500

No. 8
VASP calculation (GGA-PBE) on a geometry-optimized PmH6Rh structure.

Summary:
As for the energy above the lowest structure with this stoichiometry: 0 meV/atom.

Cell: 4.666 4.666 4.666 Å, 57.94 57.94 57.94°
Sites, in units of the cell vectors:
1 Pm 0.000 0.000 0.000
2 H 0.068 0.599 0.599
3 H 0.401 0.401 0.932
4 H 0.401 0.932 0.401
5 H 0.599 0.068 0.599
6 H 0.599 0.599 0.068
7 H 0.932 0.401 0.401
8 Rh 0.500 0.500 0.500

No. 9
VASP calculation (GGA-PBE) on a geometry-optimized PmHRh structure.

Summary:
As for the energy above the lowest structure with this stoichiometry: 355 meV/atom. The density of states at the Fermi level is 1.60 states/eV/cell.

Cell: 4.491 4.491 4.491 Å, 127.87 127.87 76.84°
Sites, in units of the cell vectors:
1 Pm 0.000 0.000 0.000
2 H 0.332 0.332 0.000
3 Rh 0.563 0.563 0.000

No. 10
VASP calculation (GGA-PBE) on a geometry-optimized PmSbH2Rh2 structure.

Summary:
As for the total DFT energy (no corrections): -66.55 eV per cell. The density of states at the Fermi level is 4.10 states/eV/cell.

Cell: 4.760 5.722 6.973 Å, 90.00 98.40 90.00°
Sites, in units of the cell vectors:
1 Pm 0.248 0.250 0.354
2 Pm 0.752 0.750 0.646
3 Sb 0.209 0.750 0.110
4 Sb 0.791 0.250 0.890
5 H 0.157 0.250 0.663
6 H 0.257 0.750 0.653
7 H 0.743 0.250 0.347
8 H 0.843 0.750 0.337
9 Rh 0.288 0.011 0.802
10 Rh 0.288 0.489 0.802
11 Rh 0.712 0.511 0.198
12 Rh 0.712 0.989 0.198

No. 11
VASP calculation (GGA-PBE) on a geometry-optimized PmSbHRh structure.

Summary:
As for the total DFT energy (no corrections): -22.86 eV per cell. The density of states at the Fermi level is 1.79 states/eV/cell.

Cell: 4.668 4.668 3.698 Å, 90.00 90.00 120.00°
Sites, in units of the cell vectors:
1 Pm 0.000 0.000 0.000
2 Sb 0.333 0.667 0.500
3 H 0.667 0.333 0.000
4 Rh 0.667 0.333 0.500

No. 12
VASP calculation (GGA-PBE) on a geometry-optimized PmSbHRh2 structure.

Summary:
As for the total DFT energy (no corrections): -60.91 eV per cell. The density of states at the Fermi level is 3.94 states/eV/cell.

Cell: 5.975 5.975 7.470 Å, 90.00 90.00 140.33°
Sites, in units of the cell vectors:
1 Pm 0.057 0.943 0.750
2 Pm 0.943 0.057 0.250
3 Sb 0.222 0.778 0.250
4 Sb 0.778 0.222 0.750
5 H 0.500 0.500 0.000
6 H 0.500 0.500 0.500
7 Rh 0.348 0.652 0.550
8 Rh 0.348 0.652 0.950
9 Rh 0.652 0.348 0.050
10 Rh 0.652 0.348 0.450

For each record above, in turn, the calculated V values are 18.10, 9.36, 12.98, 9.77, 13.99, 11.29, 10.14, 8.56, 18.27, 15.66, 17.45, 17.02 A^3/atom.
For each record above, in turn, the calculated mass density values are 9.62, 5.93, 6.91, 7.46, 7.42, 7.34, 7.64, 6.16, 7.54, 8.39, 8.82, 9.24 g/cm3.
For each record above, in turn, the calculated size of the total moment values are 0.000, 0.000, 0.013, 0.000, 0.000, 0.000, 0.000, 0.000, 0.000, 0.000, 0.000, 0.000 μB/atom.